Record 1
DFT (PBE-GGA) results for a relaxed structure of Sm4SbRu.

Properties
Energy relative to the elements, uncorrected (kJ/mol of formula units): -291.2
Energy above the most stable polymorph in this dataset (kJ/mol of formula units): 9.2

CIF file:
```
data_Sm4SbRu
_space_group_name_H-M_alt 'P 1 21/m 1'
_space_group_IT_number 11
_cell_length_a 6.188
_cell_length_b 6.667
_cell_length_c 8.894
_cell_angle_alpha 90.00
_cell_angle_beta 110.04
_cell_angle_gamma 90.00
loop_
_space_group_symop_operation_xyz
'x,y,z'
'-x,-y,-z'
'-x,y+1/2,-z'
'x,-y+1/2,z'
loop_
_atom_site_label
_atom_site_type_symbol
_atom_site_fract_x
_atom_site_fract_y
_atom_site_fract_z
Sm1 Sm 0.157 0.250 0.090
Sm2 Sm 0.279 0.750 0.378
Sm3 Sm 0.302 0.000 0.788
Sb1 Sb 0.165 0.250 0.450
Ru1 Ru 0.310 0.750 0.070
```


Record 2
DFT (PBE-GGA) results for a relaxed structure of Sm7Sb2Ru2.

Properties
Energy relative to the elements, uncorrected (kJ/mol of formula units): -555.4

CIF file:
```
data_Sm7Sb2Ru2
_space_group_name_H-M_alt 'I m m 2'
_space_group_IT_number 44
_cell_length_a 4.122
_cell_length_b 16.001
_cell_length_c 9.462
_cell_angle_alpha 90.00
_cell_angle_beta 90.00
_cell_angle_gamma 90.00
loop_
_space_group_symop_operation_xyz
'x,y,z'
'-x,-y,z'
'-x,y,z'
'x,-y,z'
'x+1/2,y+1/2,z+1/2'
'-x+1/2,-y+1/2,z+1/2'
'-x+1/2,y+1/2,z+1/2'
'x+1/2,-y+1/2,z+1/2'
loop_
_atom_site_label
_atom_site_type_symbol
_atom_site_fract_x
_atom_site_fract_y
_atom_site_fract_z
Sm1 Sm 0.000 0.000 0.000
Sm2 Sm 0.000 0.127 0.591
Sm3 Sm 0.000 0.316 0.386
Sm4 Sm 0.000 0.351 0.752
Sb1 Sb 0.000 0.000 0.331
Sb2 Sb 0.000 0.500 0.249
Ru1 Ru 0.000 0.242 0.067
```


Record 3
DFT (PBE-GGA) results for a relaxed structure of Sm6Sb3Ru.

Properties
Energy relative to the elements, uncorrected (kJ/mol of formula units): -665.2

CIF file:
```
data_Sm6Sb3Ru
_space_group_name_H-M_alt 'P 1 21/c 1'
_space_group_IT_number 14
_cell_length_a 6.685
_cell_length_b 8.432
_cell_length_c 12.736
_cell_angle_alpha 90.00
_cell_angle_beta 120.95
_cell_angle_gamma 90.00
loop_
_space_group_symop_operation_xyz
'x,y,z'
'-x,-y,-z'
'-x,y+1/2,-z+1/2'
'x,-y+1/2,z+1/2'
loop_
_atom_site_label
_atom_site_type_symbol
_atom_site_fract_x
_atom_site_fract_y
_atom_site_fract_z
Sm1 Sm 0.069 0.197 0.439
Sm2 Sm 0.288 0.660 0.434
Sm3 Sm 0.377 0.042 0.233
Sb1 Sb 0.164 0.117 0.738
Sb2 Sb 0.500 0.000 0.500
Ru1 Ru 0.000 0.000 0.000
```


Record 4
DFT (PBE-GGA) results for a relaxed structure of Sm8SbRu2.

Properties
Energy relative to the elements, uncorrected (kJ/mol of formula units): -287.3

CIF file:
```
data_Sm8SbRu2
_space_group_name_H-M_alt 'C 1 2/m 1'
_space_group_IT_number 12
_cell_length_a 8.780
_cell_length_b 13.298
_cell_length_c 5.675
_cell_angle_alpha 90.00
_cell_angle_beta 103.96
_cell_angle_gamma 90.00
loop_
_space_group_symop_operation_xyz
'x,y,z'
'-x,-y,-z'
'-x,y,-z'
'x,-y,z'
'x+1/2,y+1/2,z'
'-x+1/2,-y+1/2,-z'
'-x+1/2,y+1/2,-z'
'x+1/2,-y+1/2,z'
loop_
_atom_site_label
_atom_site_type_symbol
_atom_site_fract_x
_atom_site_fract_y
_atom_site_fract_z
Sm1 Sm 0.000 0.246 0.000
Sm2 Sm 0.112 0.500 0.797
Sm3 Sm 0.199 0.129 0.580
Sb1 Sb 0.000 0.000 0.000
Ru1 Ru 0.000 0.306 0.500
```


Record 5
DFT (PBE-GGA) results for a relaxed structure of Sm4SbRu.

Properties
Energy relative to the elements, uncorrected (kJ/mol of formula units): -300.4
Energy above the most stable polymorph in this dataset (kJ/mol of formula units): 0.0

CIF file:
```
data_Sm4SbRu
_space_group_name_H-M_alt 'C 1 2/c 1'
_space_group_IT_number 15
_cell_length_a 9.072
_cell_length_b 13.710
_cell_length_c 6.301
_cell_angle_alpha 90.00
_cell_angle_beta 116.26
_cell_angle_gamma 90.00
loop_
_space_group_symop_operation_xyz
'x,y,z'
'-x,-y,-z'
'-x,y,-z+1/2'
'x,-y,z+1/2'
'x+1/2,y+1/2,z'
'-x+1/2,-y+1/2,-z'
'-x+1/2,y+1/2,-z+1/2'
'x+1/2,-y+1/2,z+1/2'
loop_
_atom_site_label
_atom_site_type_symbol
_atom_site_fract_x
_atom_site_fract_y
_atom_site_fract_z
Sm1 Sm 0.113 0.174 0.074
Sm2 Sm 0.220 0.432 0.331
Sb1 Sb 0.000 0.373 0.750
Ru1 Ru 0.000 0.000 0.250
```


Record 6
DFT (PBE-GGA) results for a relaxed structure of Sm8Sb2Ru.

Properties
Energy relative to the elements, uncorrected (kJ/mol of formula units): -480.7

CIF file:
```
data_Sm8Sb2Ru
_space_group_name_H-M_alt 'C 1 2/m 1'
_space_group_IT_number 12
_cell_length_a 19.135
_cell_length_b 4.720
_cell_length_c 7.419
_cell_angle_alpha 90.00
_cell_angle_beta 98.64
_cell_angle_gamma 90.00
loop_
_space_group_symop_operation_xyz
'x,y,z'
'-x,-y,-z'
'-x,y,-z'
'x,-y,z'
'x+1/2,y+1/2,z'
'-x+1/2,-y+1/2,-z'
'-x+1/2,y+1/2,-z'
'x+1/2,-y+1/2,z'
loop_
_atom_site_label
_atom_site_type_symbol
_atom_site_fract_x
_atom_site_fract_y
_atom_site_fract_z
Sm1 Sm 0.005 0.000 0.278
Sm2 Sm 0.095 0.500 0.012
Sm3 Sm 0.143 0.500 0.528
Sm4 Sm 0.216 0.000 0.847
Sb1 Sb 0.182 0.000 0.268
Ru1 Ru 0.000 0.500 0.500
```


Record 7
DFT (PBE-GGA) results for a relaxed structure of Sm12Sb6Ru.

Properties
Energy relative to the elements, uncorrected (kJ/mol of formula units): -1211.7

CIF file:
```
data_Sm12Sb6Ru
_space_group_name_H-M_alt 'R -3'
_space_group_IT_number 148
_space_group_name_Hall '-R 3'
_cell_length_a 13.2954
_cell_length_b 13.2954
_cell_length_c 12.3829
_cell_angle_alpha 90.00
_cell_angle_beta 90.00
_cell_angle_gamma 120.00
loop_
_atom_site_label
_atom_site_type_symbol
_atom_site_fract_x
_atom_site_fract_y
_atom_site_fract_z
Sm1 Sm 0.0304 0.8357 0.3888
Sm2 Sm 0.0627 0.8686 0.8798
Sb1 Sb 0.0469 0.7625 0.6402
Ru1 Ru 0.0000 0.0000 0.0000
```


Record 8
DFT (PBE-GGA) results for a relaxed structure of Sn3SbRu.

Properties
Energy relative to the elements, uncorrected (kJ/mol of formula units): 56.9
Energy above the most stable polymorph in this dataset (kJ/mol of formula units): 0.0

CIF file:
```
data_Sn3SbRu
_space_group_name_H-M_alt 'P m -3 m'
_space_group_IT_number 221
_space_group_name_Hall '-P 4 2 3'
_cell_length_a 5.162
_cell_length_b 5.162
_cell_length_c 5.162
_cell_angle_alpha 90.00
_cell_angle_beta 90.00
_cell_angle_gamma 90.00
loop_
_atom_site_label
_atom_site_type_symbol
_atom_site_fract_x
_atom_site_fract_y
_atom_site_fract_z
Sn1 Sn 0.000 0.000 0.500
Sb1 Sb 0.500 0.500 0.500
Ru1 Ru 0.000 0.000 0.000
```